The following is a DFT calculation (PBE-GGA) of an optimized crystal structure of CaCdRh2.

a = 5.1514 Å, b = 5.3259 Å, c = 6.6624 Å
α = 96.03°, β = 91.46°, γ = 118.75°
Fractional coordinates of all 8 atoms:
Ca 0.1782 0.5668 0.8203
Ca 0.2714 0.7861 0.3014
Cd 0.5613 0.3153 0.0460
Cd 0.6381 0.5084 0.5079
Rh 0.1636 0.0472 0.6760
Rh 0.8560 0.9233 0.9991
Rh 0.9557 0.1615 0.3500
Rh 0.6603 0.0466 0.6752

## Properties
Its total energy is -4.617 eV per atom. The formation energy comes out at -211.8 meV/atom. The value obtained for the magnetic moment is 0.00 μB/atom. The space group is P1.